The following is a DFT calculation (PBE-GGA) of a relaxed AsAu3C crystal.

Total moment, Bohr magnetons per cell: 2.00
Uncorrected energy, eV/atom: -3.047
Space group: Pm-3m (221)
Calculated volume, Å³ per atom: 23.9

Unit cell a=4.924 b=4.924 c=4.924 alpha=90.00 beta=90.00 gamma=90.00
Fractional positions:
As 0.000 0.000 0.000
Au 0.000 0.000 0.500
Au 0.000 0.500 0.000
Au 0.500 0.000 0.000
C 0.500 0.500 0.500

---

The following is a DFT calculation (PBE-GGA) of a relaxed As3AuC crystal.

Total moment, Bohr magnetons per cell: 0.14
Uncorrected energy, eV/atom: -3.123
Space group: Pm-3m (221)
Calculated volume, Å³ per atom: 25.6

Unit cell a=5.042 b=5.042 c=5.042 alpha=90.00 beta=90.00 gamma=90.00
Fractional positions:
As 0.000 0.000 0.500
As 0.000 0.500 0.000
As 0.500 0.000 0.000
Au 0.000 0.000 0.000
C 0.500 0.500 0.500

---

The following is a DFT calculation (PBE-GGA) of a relaxed AsAu3C crystal.

Total moment, Bohr magnetons per cell: 0.00
Uncorrected energy, eV/atom: -3.800
Space group: Pm-3m (221)
Calculated volume, Å³ per atom: 17.0

Unit cell a=4.400 b=4.400 c=4.400 alpha=90.00 beta=90.00 gamma=90.00
Fractional positions:
As 0.000 0.000 0.000
Au 0.000 0.500 0.500
Au 0.500 0.000 0.500
Au 0.500 0.500 0.000
C 0.500 0.500 0.500

---

The following is a DFT calculation (PBE-GGA) of a relaxed AsAuC crystal.

Total moment, Bohr magnetons per cell: 0.00
Uncorrected energy, eV/atom: -4.811
Space group: Imm2 (44)
Calculated volume, Å³ per atom: 17.0

Unit cell a=5.675 b=5.675 c=5.675 alpha=148.12 beta=148.00 gamma=45.80
Fractional positions:
As 0.000 0.000 0.000
Au 0.245 0.245 0.000
C 0.388 0.888 0.500

---

The following is a DFT calculation (PBE-GGA) of a relaxed As2AuCF crystal.

Formation energy (no corrections), eV/atom: 1.349
Total moment, Bohr magnetons per cell: 0.75
Uncorrected energy, eV/atom: -3.386
Space group: P4/mmm (123)
Calculated volume, Å³ per atom: 16.3

Unit cell a=4.488 b=4.488 c=4.055 alpha=90.00 beta=90.00 gamma=90.00
Fractional positions:
As 0.000 0.500 0.000
As 0.500 0.000 0.000
Au 0.000 0.000 0.500
C 0.500 0.500 0.500
F 0.500 0.500 0.000

---

The following is a DFT calculation (PBE-GGA) of a relaxed FeAsAu2C crystal.

Total moment, Bohr magnetons per cell: 2.84
Uncorrected energy, eV/atom: -3.916
Space group: P4/mmm (123)
Calculated volume, Å³ per atom: 21.7

Unit cell a=4.862 b=4.862 c=4.580 alpha=90.00 beta=90.00 gamma=90.00
Fractional positions:
Fe 0.000 0.000 0.000
As 0.000 0.000 0.500
Au 0.000 0.500 0.500
Au 0.500 0.000 0.500
C 0.500 0.500 0.000

---

The following is a DFT calculation (PBE-GGA) of a relaxed As2AuCI crystal.

Formation energy (no corrections), eV/atom: 1.272
Total moment, Bohr magnetons per cell: 0.00
Uncorrected energy, eV/atom: -3.398
Space group: P4/mmm (123)
Calculated volume, Å³ per atom: 22.7

Unit cell a=5.447 b=5.447 c=3.832 alpha=90.00 beta=90.00 gamma=90.00
Fractional positions:
As 0.000 0.500 0.000
As 0.500 0.000 0.000
Au 0.000 0.000 0.000
C 0.000 0.000 0.500
I 0.500 0.500 0.500

---

The following is a DFT calculation (PBE-GGA) of a relaxed As2AuCI crystal.

Formation energy (no corrections), eV/atom: 1.097
Total moment, Bohr magnetons per cell: 0.00
Uncorrected energy, eV/atom: -3.573
Space group: P4/mmm (123)
Calculated volume, Å³ per atom: 19.8

Unit cell a=4.906 b=4.906 c=4.121 alpha=90.00 beta=90.00 gamma=90.00
Fractional positions:
As 0.000 0.500 0.000
As 0.500 0.000 0.000
Au 0.000 0.000 0.500
C 0.000 0.000 0.000
I 0.500 0.500 0.500

---

The following is a DFT calculation (PBE-GGA) of a relaxed AsOsAu2C crystal.

Total moment, Bohr magnetons per cell: 0.00
Uncorrected energy, eV/atom: -5.332
Space group: P4/mmm (123)
Calculated volume, Å³ per atom: 16.3

Unit cell a=4.531 b=4.531 c=3.972 alpha=90.00 beta=90.00 gamma=90.00
Fractional positions:
As 0.000 0.000 0.000
Os 0.500 0.500 0.000
Au 0.000 0.500 0.500
Au 0.500 0.000 0.500
C 0.500 0.500 0.500

---

The following is a DFT calculation (PBE-GGA) of a relaxed AsPAuC2 crystal.

Total moment, Bohr magnetons per cell: 0.00
Uncorrected energy, eV/atom: -5.610
Space group: Pm (6)
Calculated volume, Å³ per atom: 14.2

Unit cell a=2.988 b=2.890 c=8.251 alpha=90.00 beta=96.18 gamma=90.00
Fractional positions:
As 0.000 0.000 0.000
P 0.007 0.500 0.648
Au 0.404 0.000 0.325
C 0.041 0.000 0.768
C 0.469 0.500 0.519

---

The following is a DFT calculation (PBE-GGA) of a relaxed AsPAuC2 crystal.

Total moment, Bohr magnetons per cell: 0.00
Uncorrected energy, eV/atom: -5.552
Space group: Cm (8)
Calculated volume, Å³ per atom: 16.1

Unit cell a=5.216 b=5.216 c=6.669 alpha=122.17 beta=122.17 gamma=32.25
Fractional positions:
As 0.000 0.000 0.000
P 0.219 0.219 0.549
Au 0.370 0.370 0.350
C 0.006 0.006 0.306
C 0.772 0.772 0.730

---

The following is a DFT calculation (PBE-GGA) of a relaxed AsPAuC2 crystal.

Total moment, Bohr magnetons per cell: 0.00
Uncorrected energy, eV/atom: -5.683
Space group: Imm2 (44)
Calculated volume, Å³ per atom: 13.7

Unit cell a=8.153 b=8.153 c=8.153 alpha=159.47 beta=158.87 gamma=29.63
Fractional positions:
As 0.000 0.000 0.000
P 0.658 0.658 0.000
Au 0.352 0.852 0.500
C 0.219 0.719 0.500
C 0.588 0.088 0.500

---

The following is a DFT calculation (PBE-GGA) of a relaxed AsPAuC2 crystal.

Total moment, Bohr magnetons per cell: 0.00
Uncorrected energy, eV/atom: -5.688
Space group: Cm (8)
Calculated volume, Å³ per atom: 16.6

Unit cell a=5.431 b=5.431 c=5.261 alpha=92.80 beta=92.80 gamma=32.35
Fractional positions:
As 0.000 0.000 0.000
P 0.525 0.525 0.488
Au 0.302 0.302 0.387
C 0.098 0.098 0.350
C 0.562 0.562 0.819

---

The following is a DFT calculation (PBE-GGA) of a relaxed AsPAuC crystal.

Total moment, Bohr magnetons per cell: 0.00
Uncorrected energy, eV/atom: -5.213
Space group: Cm (8)
Calculated volume, Å³ per atom: 17.8

Unit cell a=4.550 b=4.550 c=5.748 alpha=96.29 beta=96.29 gamma=37.09
Fractional positions:
As 0.000 0.000 0.000
P 0.800 0.800 0.307
Au 0.075 0.075 0.592
C 0.181 0.181 0.247

---

The following is a DFT calculation (PBE-GGA) of a relaxed AsPAuC2 crystal.

Total moment, Bohr magnetons per cell: 0.00
Uncorrected energy, eV/atom: -5.650
Space group: Pm (6)
Calculated volume, Å³ per atom: 13.5

Unit cell a=3.417 b=3.026 c=6.744 alpha=90.00 beta=103.84 gamma=90.00
Fractional positions:
As 0.000 0.000 0.000
P 0.684 0.500 0.347
Au 0.357 0.000 0.712
C 0.109 0.500 0.200
C 0.751 0.000 0.493

---

The following is a DFT calculation (PBE-GGA) of a relaxed AsPAuC crystal.

Total moment, Bohr magnetons per cell: 0.00
Uncorrected energy, eV/atom: -5.271
Space group: P1 (1)
Calculated volume, Å³ per atom: 15.3

Unit cell a=2.910 b=2.911 c=8.508 alpha=80.48 beta=80.29 gamma=60.15
Fractional positions:
As 0.000 0.000 0.000
P 0.888 0.899 0.316
Au 0.099 0.116 0.683
C 0.193 0.207 0.399

---

The following is a DFT calculation (PBE-GGA) of a relaxed AsPAuC2 crystal.

Total moment, Bohr magnetons per cell: 0.00
Uncorrected energy, eV/atom: -5.807
Space group: Cm (8)
Calculated volume, Å³ per atom: 18.5

Unit cell a=5.892 b=5.892 c=4.345 alpha=94.10 beta=94.10 gamma=37.86
Fractional positions:
As 0.000 0.000 0.000
P 0.140 0.140 0.584
Au 0.340 0.340 0.793
C 0.408 0.758 0.320
C 0.758 0.408 0.320

---

The following is a DFT calculation (PBE-GGA) of a relaxed AsPAuC crystal.

Total moment, Bohr magnetons per cell: 0.00
Uncorrected energy, eV/atom: -5.297
Space group: Amm2 (38)
Calculated volume, Å³ per atom: 18.0

Unit cell a=4.056 b=6.299 c=6.299 alpha=26.60 beta=90.00 gamma=90.00
Fractional positions:
As 0.000 0.000 0.000
P 0.000 0.738 0.738
Au 0.500 0.864 0.864
C 0.000 0.157 0.157

---

The following is a DFT calculation (PBE-GGA) of a relaxed AsPAuC crystal.

Total moment, Bohr magnetons per cell: 0.00
Uncorrected energy, eV/atom: -5.273
Space group: Cm (8)
Calculated volume, Å³ per atom: 18.3

Unit cell a=4.923 b=4.923 c=6.987 alpha=128.15 beta=128.15 gamma=34.43
Fractional positions:
As 0.000 0.000 0.000
P 0.091 0.091 0.735
Au 0.893 0.893 0.296
C 0.740 0.740 0.883

---

The following is a DFT calculation (PBE-GGA) of a relaxed AsPAuC crystal.

Total moment, Bohr magnetons per cell: 0.00
Uncorrected energy, eV/atom: -5.247
Space group: Pm (6)
Calculated volume, Å³ per atom: 19.6

Unit cell a=4.249 b=2.930 c=6.652 alpha=90.00 beta=108.58 gamma=90.00
Fractional positions:
As 0.000 0.000 0.000
P 0.772 0.500 0.539
Au 0.578 0.500 0.156
C 0.846 0.000 0.688

---

The following is a DFT calculation (PBE-GGA) of a relaxed AsPAuC2 crystal.

Total moment, Bohr magnetons per cell: 0.00
Uncorrected energy, eV/atom: -5.933
Space group: Pmm2 (25)
Calculated volume, Å³ per atom: 18.3

Unit cell a=3.846 b=3.937 c=6.047 alpha=90.00 beta=90.00 gamma=90.00
Fractional positions:
As 0.000 0.000 0.000
P 0.000 0.000 0.533
Au 0.000 0.500 0.282
C 0.325 0.000 0.747
C 0.675 0.000 0.747

---

The following is a DFT calculation (PBE-GGA) of a relaxed AsPAuC2 crystal.

Total moment, Bohr magnetons per cell: 0.00
Uncorrected energy, eV/atom: -5.748
Space group: Pmm2 (25)
Calculated volume, Å³ per atom: 15.1

Unit cell a=2.855 b=3.842 c=6.861 alpha=90.00 beta=90.00 gamma=90.00
Fractional positions:
As 0.000 0.000 0.000
P 0.000 0.000 0.420
Au 0.000 0.500 0.704
C 0.000 0.327 0.228
C 0.000 0.673 0.228

---

The following is a DFT calculation (PBE-GGA) of a relaxed AsPAuC2 crystal.

Total moment, Bohr magnetons per cell: 0.00
Uncorrected energy, eV/atom: -5.831
Space group: P1 (1)
Calculated volume, Å³ per atom: 14.4

Unit cell a=3.058 b=3.925 c=6.627 alpha=99.24 beta=90.20 gamma=112.90
Fractional positions:
As 0.000 0.000 0.000
P 0.327 0.660 0.636
Au 0.318 0.645 0.274
C 0.555 0.115 0.811
C 0.741 0.485 0.753

---

The following is a DFT calculation (PBE-GGA) of a relaxed AsPAuC2 crystal.

Total moment, Bohr magnetons per cell: 0.00
Uncorrected energy, eV/atom: -5.714
Space group: Amm2 (38)
Calculated volume, Å³ per atom: 14.1

Unit cell a=2.997 b=8.050 c=8.050 alpha=21.35 beta=90.00 gamma=90.00
Fractional positions:
As 0.000 0.000 0.000
P 0.500 0.346 0.346
Au 0.000 0.158 0.158
C 0.000 0.289 0.289
C 0.500 0.919 0.919

---

The following is a DFT calculation (PBE-GGA) of a relaxed AsPAuC2 crystal.

Total moment, Bohr magnetons per cell: 0.24
Uncorrected energy, eV/atom: -5.469
Space group: Cm (8)
Calculated volume, Å³ per atom: 14.7

Unit cell a=5.612 b=5.612 c=5.342 alpha=117.36 beta=117.36 gamma=29.88
Fractional positions:
As 0.000 0.000 0.000
P 0.310 0.310 0.421
Au 0.142 0.142 0.606
C 0.189 0.189 0.054
C 0.920 0.920 0.560

---

The following is a DFT calculation (PBE-GGA) of a relaxed AsPAuC crystal.

Total moment, Bohr magnetons per cell: 0.00
Uncorrected energy, eV/atom: -5.143
Space group: Amm2 (38)
Calculated volume, Å³ per atom: 17.4

Unit cell a=3.476 b=7.094 c=7.094 alpha=23.44 beta=90.00 gamma=90.00
Fractional positions:
As 0.000 0.000 0.000
P 0.500 0.864 0.864
Au 0.500 0.145 0.145
C 0.500 0.296 0.296

---

The following is a DFT calculation (PBE-GGA) of a relaxed AsPAuC crystal.

Total moment, Bohr magnetons per cell: 0.00
Uncorrected energy, eV/atom: -5.029
Space group: Pm (6)
Calculated volume, Å³ per atom: 17.3

Unit cell a=3.016 b=2.891 c=8.064 alpha=90.00 beta=100.89 gamma=90.00
Fractional positions:
As 0.000 0.000 0.000
P 0.306 0.500 0.609
Au 0.637 0.000 0.271
C 0.242 0.000 0.477